Below is a relaxed PrYSiRh crystal, with properties calculated at the PBE level.

Summary:
- Space-group type: No. 38
- Calculated total energy: -6.782 eV per atom
- M_tot: 0.0 μB per formula unit

a b c (Å): 4.3084 4.1641 5.6365
angles (deg): 90.00 112.47 90.00
Closest atoms and distances in Å follow each position.
Positions (direct):
Pr 0.1463 0.0000 0.2927  3 Rh 2.93-3.13, 4 Si 3.12
Y 0.8634 0.5000 0.7268  3 Si 2.99-3.14, 4 Rh 3.07
Si 0.5623 0.5000 0.1246  2 Rh 2.51
Rh 0.4280 0.0000 0.8559  2 Si 2.51

Below is a relaxed PrZnSi2Rh crystal, with properties calculated at the PBE level.

Summary:
- Space-group type: No. 119
- Calculated total energy: -5.605 eV per atom
- M_tot: 0.0 μB per formula unit

a b c (Å): 4.1004 4.1004 5.9849
angles (deg): 110.03 110.03 90.00
Closest atoms and distances in Å follow each position.
Positions (direct):
Pr 0.0000 0.0000 0.0000  8 Si 3.14, 4 Zn 3.33, 4 Rh 3.33
Zn 0.2500 0.7500 0.5000  4 Si 2.48
Si 0.6161 0.6161 0.2322  1 Si 2.43, 2 Rh 2.48, 2 Zn 2.48
Si 0.3839 0.3839 0.7678  1 Si 2.43, 2 Rh 2.48, 2 Zn 2.48
Rh 0.7500 0.2500 0.5000  4 Si 2.48

Which of these has the highest calculated total energy?
PrZnSi2Rh

Look up the M_tot of the second one.
0.0 μB per formula unit

M_tot of number 1 (PrYSiRh)?
0.0 μB per formula unit

Look up the calculated total energy of the second one.
-5.605 eV per atom